Entry 1:
This record from the Open Quantum Materials Database describes an optimized crystal structure of ZnGaCo2. The functional is PBE.

Cell: 4.0646 4.0646 4.0646 Å, 60.00 60.00 60.00°
Fractional coordinates of all 4 atoms:
Zn 0.0000 0.0000 0.0000
Ga 0.5000 0.5000 0.5000
Co 0.2500 0.2500 0.2500
Co 0.7500 0.7500 0.7500

Results
Calculated total energy in eV/atom: -4.799
Total magnetization in μB per atom: 0.00

Entry 2:
This record from the Open Quantum Materials Database describes an optimized crystal structure of Zr2GaCo. The functional is PBE.

Cell: 4.6143 4.6143 4.6143 Å, 60.00 60.00 60.00°
Fractional coordinates of all 4 atoms:
Zr 0.0000 0.0000 0.0000
Zr 0.2500 0.2500 0.2500
Ga 0.5000 0.5000 0.5000
Co 0.7500 0.7500 0.7500

Results
Calculated total energy in eV/atom: -6.807
Total magnetization in μB per atom: 0.50